[1]
The following is a DFT calculation (PBE-GGA) of crystalline Ac2Mg2Ge3 at its relaxed geometry.

a b c (Å): 4.536 8.663 10.598
angles (deg): 82.69 77.64 74.82
Fractional positions:
Ac1 0.267 0.131 0.335
Ac2 0.733 0.869 0.665
Ac3 0.389 0.273 0.949
Ac4 0.611 0.727 0.051
Mg1 0.043 0.239 0.676
Mg2 0.957 0.761 0.324
Mg3 0.414 0.520 0.652
Mg4 0.586 0.480 0.348
Ge1 0.071 0.976 0.882
Ge2 0.929 0.024 0.118
Ge3 0.159 0.492 0.190
Ge4 0.841 0.508 0.810
Ge5 0.379 0.776 0.467
Ge6 0.621 0.224 0.533

## Properties
As for the energy relative to the elements: -0.556 eV per atom. Its space-group type is C2/m (12).



[2]
The following is a DFT calculation (PBE-GGA) of crystalline NdSmGeBr at its relaxed geometry.

a b c (Å): 5.055 5.103 5.920
angles (deg): 90.00 90.00 119.69
Fractional positions:
Nd1 0.169 0.337 0.500
Sm1 0.837 0.675 0.000
Ge1 0.169 0.338 0.000
Br1 0.838 0.675 0.500

## Properties
As for the calculated total energy: -4.772 eV per atom. Its space-group type is Amm2 (38).



[3]
The following is a DFT calculation (PBE-GGA) of crystalline Li14CaHg at its relaxed geometry.

a b c (Å): 6.267 6.267 10.063
angles (deg): 90.00 90.00 120.91
Fractional positions:
Li1 0.209 0.791 0.000
Li2 0.714 0.286 0.000
Li3 0.032 0.475 0.500
Li4 0.206 0.280 0.000
Li5 0.525 0.968 0.500
Li6 0.720 0.794 0.000
Li7 0.367 0.109 0.756
Li8 0.367 0.109 0.244
Li9 0.891 0.633 0.756
Li10 0.891 0.633 0.244
Li11 0.371 0.629 0.774
Li12 0.371 0.629 0.226
Li13 0.882 0.118 0.732
Li14 0.882 0.118 0.268
Ca1 0.527 0.473 0.500
Hg1 0.043 0.957 0.500

## Properties
As for the energy relative to the elements: -0.037 eV per atom. Its space-group type is Amm2 (38).